Entry 1:
! SmTcNO (PBE-GGA, relaxed); values from VASP
! * V: 57.0 Å³/f.u.
! * ΔE to the lowest computed polymorph: 0.4046 eV per atom
! * SG: No. 26
! * raw total energy: -8.23 eV per atom
! * magnetic moment: 0.1 μB per cell
&SYSTEM
  ibrav = 0, nat = 8, ntyp = 4
/
ATOMIC_SPECIES
Sm 150.36 Sm.upf
O 16.00 O.upf
Tc 98.00 Tc.upf
N 14.01 N.upf
CELL_PARAMETERS angstrom
-0.915 3.651 -1.030
-2.109 0.825 4.796
4.888 1.747 1.849
ATOMIC_POSITIONS angstrom
Sm 1.266 2.855 1.603
Sm 2.706 4.121 4.809
O -0.558 2.036 0.318
O 0.434 3.477 4.545
Tc 0.856 1.491 4.524
Tc 4.358 1.951 3.042
N 2.583 1.676 3.647
N 0.044 0.841 2.940

---

Entry 2:
! HoScSnC (PBE-GGA, relaxed); values from VASP
! * V: 80.9 Å³/f.u.
! * ΔE to the lowest computed polymorph: 0.0000 eV per atom
! * SG: No. 186
! * raw total energy: -6.63 eV per atom
! * magnetic moment: 0.0 μB per cell
&SYSTEM
  ibrav = 0, nat = 8, ntyp = 4
/
ATOMIC_SPECIES
C 12.01 C.upf
Ho 164.93 Ho.upf
Sn 118.71 Sn.upf
Sc 44.96 Sc.upf
CELL_PARAMETERS angstrom
3.487 0.000 0.000
-1.743 3.020 0.000
0.000 0.000 15.375
ATOMIC_POSITIONS angstrom
C 0.000 0.000 7.769
C 0.000 0.000 0.081
Ho 0.000 2.013 6.415
Ho 1.743 1.007 14.103
Sn 0.000 2.013 11.449
Sn 1.743 1.007 3.762
Sc 1.743 1.007 8.960
Sc 0.000 2.013 1.273

---

Entry 3:
! NiSnOsPt (PBE-GGA, relaxed); values from VASP
! * V: 62.3 Å³/f.u.
! * SG: No. 216
! * raw total energy: -6.38 eV per atom
! * magnetic moment: 1.0 μB per cell
&SYSTEM
  ibrav = 0, nat = 4, ntyp = 4
/
ATOMIC_SPECIES
Ni 58.69 Ni.upf
Os 190.23 Os.upf
Pt 195.08 Pt.upf
Sn 118.71 Sn.upf
CELL_PARAMETERS angstrom
-3.314 -2.617 -1.402
-3.959 1.767 -1.000
-1.345 0.190 -4.237
ATOMIC_POSITIONS angstrom
Ni -6.464 -0.495 -4.979
Os -4.309 -0.330 -3.320
Pt -2.155 -0.165 -1.660
Sn 0.000 0.000 0.000

---

Entry 4:
! TbTmInTe3 (PBE-GGA, relaxed); values from VASP
! * V: 197.5 Å³/f.u.
! * ΔE to the lowest computed polymorph: 0.0000 eV per atom
! * SG: No. 63
! * raw total energy: -4.47 eV per atom
! * magnetic moment: 0.1 μB per cell
&SYSTEM
  ibrav = 0, nat = 12, ntyp = 4
/
ATOMIC_SPECIES
Te 127.60 Te.upf
In 114.82 In.upf
Tm 168.93 Tm.upf
Tb 158.93 Tb.upf
CELL_PARAMETERS angstrom
1.767 1.240 7.577
-4.828 1.438 -6.058
-6.725 -9.454 3.115
ATOMIC_POSITIONS angstrom
Te -6.970 -5.740 2.276
Te -7.387 -3.548 -2.427
Te -2.815 -1.037 2.358
Te 0.638 1.039 5.656
Te -2.398 -3.229 7.062
Te -10.423 -7.815 -1.021
In -4.906 -5.802 6.545
In -4.879 -0.975 -1.910
Tm -9.368 -5.668 -2.681
Tm -0.417 -1.109 7.316
Tb -4.893 -3.388 2.317
Tb -1.530 1.339 0.760

---

Entry 5:
! SrLu2Nb (PBE-GGA, relaxed); values from VASP
! * V: 115.5 Å³/f.u.
! * SG: No. 216
! * raw total energy: -4.58 eV per atom
! * magnetic moment: 3.0 μB per cell
&SYSTEM
  ibrav = 0, nat = 4, ntyp = 3
/
ATOMIC_SPECIES
Lu 174.97 Lu.upf
Nb 92.91 Nb.upf
Sr 87.62 Sr.upf
CELL_PARAMETERS angstrom
0.000 3.866 3.866
3.866 0.000 3.866
3.866 3.866 0.000
ATOMIC_POSITIONS angstrom
Lu 3.866 3.866 3.866
Lu 1.933 1.933 1.933
Nb 0.000 0.000 0.000
Sr 5.799 5.799 5.799

---

Entry 6:
! SmSnPd (PBE-GGA, relaxed); values from VASP
! * V: 69.3 Å³/f.u.
! * SG: No. 62
! * raw total energy: -5.55 eV per atom
! * magnetic moment: 0.0 μB per cell
&SYSTEM
  ibrav = 0, nat = 12, ntyp = 3
/
ATOMIC_SPECIES
Pd 106.42 Pd.upf
Sn 118.71 Sn.upf
Sm 150.36 Sm.upf
CELL_PARAMETERS angstrom
7.395 0.000 0.000
0.000 4.685 0.000
0.000 0.000 8.001
ATOMIC_POSITIONS angstrom
Pd 5.899 1.171 7.331
Pd 2.201 1.171 4.671
Pd 5.194 3.514 3.330
Pd 1.497 3.514 0.670
Sn 1.413 1.171 7.302
Sn 2.285 3.514 3.301
Sn 5.110 1.171 4.700
Sn 5.982 3.514 0.699
Sm 3.618 3.514 6.373
Sm 3.777 1.171 1.628
Sm 0.079 1.171 2.373
Sm 7.316 3.514 5.629

---

Entry 7:
! DyCoSi (PBE-GGA, relaxed); values from VASP
! * V: 48.6 Å³/f.u.
! * SG: No. 189
! * raw total energy: -6.31 eV per atom
! * magnetic moment: 0.0 μB per cell
&SYSTEM
  ibrav = 0, nat = 9, ntyp = 3
/
ATOMIC_SPECIES
Dy 162.50 Dy.upf
Co 58.93 Co.upf
Si 28.09 Si.upf
CELL_PARAMETERS angstrom
-2.354 4.280 -4.485
-2.053 -6.306 -0.038
-2.858 0.916 2.374
ATOMIC_POSITIONS angstrom
Dy -2.618 -3.196 1.165
Dy -2.793 2.938 -1.412
Dy -3.282 -0.394 -0.715
Co -1.429 0.458 1.187
Co -2.254 0.751 -3.003
Co -2.153 -2.777 -1.520
Si -3.371 -1.549 -3.459
Si -0.553 1.006 -1.054
Si -0.483 -1.482 -0.009

---

Entry 8:
! BeFeBAs (PBE-GGA, relaxed); values from VASP
! * V: 41.9 Å³/f.u.
! * ΔE to the lowest computed polymorph: 0.1783 eV per atom
! * SG: No. 216
! * raw total energy: -5.04 eV per atom
! * magnetic moment: 1.2 μB per cell
&SYSTEM
  ibrav = 0, nat = 4, ntyp = 4
/
ATOMIC_SPECIES
Be 9.01 Be.upf
As 74.92 As.upf
B 10.81 B.upf
Fe 55.84 Fe.upf
CELL_PARAMETERS angstrom
0.000 2.757 2.757
2.757 0.000 2.757
2.757 2.757 0.000
ATOMIC_POSITIONS angstrom
Be 4.136 4.136 4.136
As 0.000 0.000 0.000
B 1.379 1.379 1.379
Fe 2.757 2.757 2.757

---

- Which of these has the highest V?
  TbTmInTe3

---

- Which formula does entry 7 have?
  DyCoSi

---

- Which of these has the lowest raw total energy?
  SmTcNO